Record 1
Material: TeHSe2Br
Method: DFT, PBE
State: relaxed

Cell lengths 5.4081, 5.4081, 5.6920 Å; angles 90.00, 90.00, 90.00 degrees
Last column: nearest neighbours and their distance in Å.
Space group P4/mmm (No. 123)
Symmetry-distinct sites (fractional):
Te 0.0000 0.0000 0.0000 (multiplicity 1)  4 Se 2.70, 2 Br 2.85
H 0.5000 0.5000 0.5000 (multiplicity 1)  4 Br 3.82, 8 Se 3.93
Se 0.0000 0.5000 0.0000 (multiplicity 2)  2 Te 2.70
Br 0.0000 0.0000 0.5000 (multiplicity 1)  2 Te 2.85

Output
E = -2.2820 eV/atom
Energy relative to the lowest polymorph listed for this composition = 275 meV per atom
ρ = 3.65 g cm⁻³
N(E_F) = 6.449 states/eV/cell

Record 2
Material: Ta2NbRh
Method: DFT, PBE
State: relaxed

Cell lengths 3.8123, 3.8123, 20.3262 Å; angles 90.00, 90.00, 90.00 degrees
Last column: nearest neighbours and their distance in Å.
Space group I-42d (No. 122)
Symmetry-distinct sites (fractional):
Ta 0.2476 0.2500 0.1250 (multiplicity 8)  4 Ta 2.68-2.71, 2 Nb 2.87, 2 Rh 2.88
Nb 0.0000 0.0000 0.0000 (multiplicity 4)  4 Rh 2.70, 4 Ta 2.87
Rh 0.0000 0.0000 0.5000 (multiplicity 4)  4 Nb 2.70, 4 Ta 2.88

Output
E = -9.8669 eV/atom
Energy relative to the lowest polymorph listed for this composition = 690 meV per atom
ρ = 12.54 g cm⁻³
N(E_F) = 12.972 states/eV/cell
Energy of formation from the pure elements = 1.66 eV/f.u.

Record 3
Material: GaBSe4
Method: DFT, PBE
State: relaxed

Cell lengths 5.3130, 5.3130, 9.5418 Å; angles 90.00, 90.00, 90.00 degrees
Last column: nearest neighbours and their distance in Å.
Space group I-4 (No. 82)
Symmetry-distinct sites (fractional):
Ga 0.0000 0.0000 0.0000 (multiplicity 2)  4 Se 2.44
B 0.0000 0.5000 0.2500 (multiplicity 2)  4 Se 2.07
Se 0.2043 0.7572 0.3665 (multiplicity 8)  1 B 2.07

Output
E = -4.0470 eV/atom
ρ = 4.89 g cm⁻³
Formation energy (no corrections) = -107 meV/atom
N(E_F) = 6.587 states/eV/cell

Record 4
Material: ErPaSi2Ir5
Method: DFT, PBE
State: relaxed

Cell lengths 3.9854, 3.9854, 11.2733 Å; angles 90.00, 90.00, 90.00 degrees
Last column: nearest neighbours and their distance in Å.
Space group P4/mmm (No. 123)
Symmetry-distinct sites (fractional):
Er 0.0000 0.0000 0.0000 (multiplicity 1)  4 Ir 2.82
Pa 0.0000 0.0000 0.5000 (multiplicity 1)  8 Ir 2.82
Si 0.5000 0.5000 0.2065 (multiplicity 2)  5 Ir 2.33-2.38
Ir 0.0000 0.5000 0.3224 (multiplicity 4)  2 Si 2.38
Ir 0.5000 0.5000 0.0000 (multiplicity 1)  2 Si 2.33

Output
E = -8.3289 eV/atom
ρ = 13.13 g cm⁻³
Formation energy (no corrections) = -639 meV/atom
N(E_F) = 4.408 states/eV/cell

Record 5
Material: Ta3GaRe
Method: DFT, PBE
State: relaxed

Cell lengths 4.8588, 4.8588, 4.8588 Å; angles 90.00, 90.00, 90.00 degrees
Last column: nearest neighbours and their distance in Å.
Space group Pm-3m (No. 221)
Symmetry-distinct sites (fractional):
Ta 0.0000 0.0000 0.5000 (multiplicity 3)  2 Re 2.43
Ga 0.5000 0.5000 0.5000 (multiplicity 1)  12 Ta 3.44
Re 0.0000 0.0000 0.0000 (multiplicity 1)  6 Ta 2.43

Output
E = -8.9749 eV/atom
Energy relative to the lowest polymorph listed for this composition = 0 meV per atom
ρ = 11.56 g cm⁻³
N(E_F) = 2.226 states/eV/cell
Energy of formation from the pure elements = 6.16 eV/f.u.

Record 6
Material: GaAuS
Method: DFT, PBE
State: relaxed

Cell lengths 3.4886, 3.4886, 5.3220 Å; angles 90.00, 90.00, 120.00 degrees
Last column: nearest neighbours and their distance in Å.
Space group P3m1 (No. 156)
Symmetry-distinct sites (fractional):
Ga 0.0000 0.0000 0.0000 (multiplicity 1)  3 S 2.42, 3 Au 2.67
Au 0.3333 0.6667 0.6715 (multiplicity 1)  3 Ga 2.67
S 0.6667 0.3333 0.2513 (multiplicity 1)  3 Ga 2.42

Output
E = -3.6986 eV/atom
Energy relative to the lowest polymorph listed for this composition = 111 meV per atom
ρ = 8.84 g cm⁻³
Formation energy (no corrections) = -221 meV/atom
N(E_F) = 0.238 states/eV/cell

Record 7
Material: K6Bi2O
Method: DFT, PBE
State: relaxed

Cell lengths 7.8955, 7.8942, 13.7501 Å; angles 90.00, 125.04, 90.00 degrees
Last column: nearest neighbours and their distance in Å.
Space group P2_1/c (No. 14)
Symmetry-distinct sites (fractional):
K 0.2269 0.0003 0.2276 (multiplicity 4)  1 O 2.56
K 0.2278 0.2307 0.0001 (multiplicity 4)  1 O 2.56
K 0.2311 0.7277 0.5004 (multiplicity 4)  1 O 2.56
Bi 0.2503 0.9998 0.7500 (multiplicity 4)  12 K 3.95-3.99
O 0.0000 0.0000 0.0000 (multiplicity 2)  6 K 2.56

Output
E = -2.6742 eV/atom
ρ = 3.16 g cm⁻³
Formation energy (no corrections) = -529 meV/atom
N(E_F) = 10.607 states/eV/cell

Record 8
Material: VNi6Ge
Method: DFT, PBE
State: relaxed

Cell lengths 3.5618, 3.5618, 7.1549 Å; angles 90.00, 90.00, 90.00 degrees
Last column: nearest neighbours and their distance in Å.
Space group P4/mmm (No. 123)
Symmetry-distinct sites (fractional):
V 0.0000 0.0000 0.0000 (multiplicity 1)  12 Ni 2.49-2.52
Ni 0.0000 0.5000 0.2442 (multiplicity 4)  8 Ni 2.49-2.55, 2 V 2.49, 2 Ge 2.55
Ni 0.5000 0.5000 0.0000 (multiplicity 1)  8 Ni 2.49, 4 V 2.52
Ni 0.5000 0.5000 0.5000 (multiplicity 1)  4 Ge 2.52, 8 Ni 2.55
Ge 0.0000 0.0000 0.5000 (multiplicity 1)  12 Ni 2.52-2.55

Output
E = -6.3086 eV/atom
Energy relative to the lowest polymorph listed for this composition = 0 meV per atom
ρ = 8.70 g cm⁻³
N(E_F) = 4.731 states/eV/cell
Energy of formation from the pure elements = -2.04 eV/f.u.

Record 9
Material: Fe2AgSb2
Method: DFT, PBE
State: relaxed

Cell lengths 7.4861, 7.4861, 2.9798 Å; angles 90.00, 90.00, 90.00 degrees
Last column: nearest neighbours and their distance in Å.
Space group P4/mbm (No. 127)
Symmetry-distinct sites (fractional):
Fe 0.1386 0.3614 0.0000 (multiplicity 4)  6 Sb 2.65, 1 Fe 2.93
Ag 0.0000 0.0000 0.5000 (multiplicity 2)  4 Sb 2.84, 2 Ag 2.98
Sb 0.1540 0.6540 0.5000 (multiplicity 4)  6 Fe 2.65, 2 Ag 2.84

Output
E = -5.2339 eV/atom
Energy relative to the lowest polymorph listed for this composition = 145 meV per atom
ρ = 9.21 g cm⁻³
Formation energy (no corrections) = 370 meV/atom
N(E_F) = 5.991 states/eV/cell

Record 10
Material: Ca2HoAl2Pd5
Method: DFT, PBE
State: relaxed

Cell lengths 10.1214, 10.1214, 3.7669 Å; angles 90.00, 90.00, 90.00 degrees
Last column: nearest neighbours and their distance in Å.
Space group P4/mbm (No. 127)
Symmetry-distinct sites (fractional):
Ca 0.1765 0.3235 0.0000 (multiplicity 4)  3 Al 2.93-3.05, 6 Pd 3.15-3.22
Ho 0.0000 0.0000 0.0000 (multiplicity 2)  8 Pd 2.97
Al 0.1188 0.6188 0.0000 (multiplicity 4)  6 Pd 2.54-2.57
Pd 0.0000 0.5000 0.5000 (multiplicity 2)  4 Al 2.54
Pd 0.0688 0.7836 0.5000 (multiplicity 8)  2 Al 2.57

Output
E = -5.0044 eV/atom
ρ = 7.15 g cm⁻³
N(E_F) = 8.445 states/eV/cell
Energy of formation from the pure elements = -8.01 eV/f.u.

Record 11
Material: Y3TlO
Method: DFT, PBE
State: relaxed

Cell lengths 7.4934, 3.8674, 9.1471 Å; angles 90.00, 98.37, 90.00 degrees
Last column: nearest neighbours and their distance in Å.
Space group P2_1/m (No. 11)
Symmetry-distinct sites (fractional):
Y 0.0755 0.2500 0.3397 (multiplicity 2)  1 O 2.22
Y 0.2480 0.2500 0.9242 (multiplicity 2)  2 O 2.25
Y 0.3689 0.7500 0.6170 (multiplicity 2)  1 O 2.27
Tl 0.3449 0.7500 0.2079 (multiplicity 2)  7 Y 3.15-3.44
O 0.1933 0.7500 0.7990 (multiplicity 2)  4 Y 2.22-2.27

Output
E = -6.6607 eV/atom
ρ = 6.17 g cm⁻³
Formation energy (no corrections) = -1317 meV/atom
N(E_F) = 8.024 states/eV/cell

Record 12
Material: WN
Method: DFT, PBE
State: relaxed

Cell lengths 6.3792, 6.3792, 6.3792 Å; angles 90.00, 90.00, 90.00 degrees
Last column: nearest neighbours and their distance in Å.
Space group I-43m (No. 217)
Symmetry-distinct sites (fractional):
W 0.1544 0.1544 0.8456 (multiplicity 8)  4 N 1.98-2.05
N 0.1659 0.1659 0.1659 (multiplicity 8)  4 W 1.98-2.05

Output
E = -10.2525 eV/atom
ρ = 10.12 g cm⁻³
Formation energy (no corrections) = 387 meV/atom
N(E_F) = 20.745 states/eV/cell

Number 1: size of the total moment 0.34 μB/atom. Number 2: size of the total moment 0.00 μB/atom. Number 3: size of the total moment 0.00 μB/atom. Number 4: size of the total moment 0.00 μB/atom. Number 5: size of the total moment 0.00 μB/atom. Number 6: size of the total moment 0.00 μB/atom. Number 7: size of the total moment 0.23 μB/atom. Number 8: size of the total moment 0.00 μB/atom. Number 9: size of the total moment 0.00 μB/atom. Number 10: size of the total moment 0.00 μB/atom. Number 11: size of the total moment 0.07 μB/atom. Number 12: size of the total moment 0.00 μB/atom.